Entry from Alexandria via LeMat-Bulk: BeCuBr2 after structural relaxation (PBE).

Cell and atoms, written as POSCAR:
```
BeCuBr2
1.0
-2.2973 -2.5774 -1.1539
2.7062 -1.5845 -1.8486
1.3279 -3.3329 4.8008
Be Br Cu
1 2 1
direct
0.5000 0.5000 0.8249
0.5000 0.5000 0.4470
0.0000 0.0000 0.9074
0.0000 0.0000 0.3207
```

Formation energy without anion corrections   0.172 eV per atom
Energy above the lowest structure with this stoichiometry   0.338 eV/atom
Final energy   -2.6201 eV/atom
Symmetry   P4mm (99)